Version w
Entry from the Alexandria database: K3AsI6 after structural relaxation (PBE-GGA).

Results
Its space group is P2_1/c, No. 14.

a b c (Å): 8.3413 8.9446 14.2617
angles (deg): 90.00 123.56 90.00
Element x y z (fractional)
K  0.0000  0.0000  0.0000
K  0.0000  0.5000  0.5000
K  0.2060  0.0838  0.7396
K  0.2060  0.4162  0.2396
K  0.7940  0.5838  0.7604
K  0.7940  0.9162  0.2604
As  0.5000  0.0000  0.5000
As  0.5000  0.5000  0.0000
I  0.1654  0.1732  0.4470
I  0.1654  0.3268  0.9470
I  0.2661  0.7293  0.4238
I  0.2661  0.7707  0.9238
I  0.4076  0.0543  0.2747
I  0.4076  0.4457  0.7747
I  0.5924  0.5543  0.2253
I  0.5924  0.9457  0.7253
I  0.7339  0.2293  0.0762
I  0.7339  0.2707  0.5762
I  0.8346  0.6732  0.0530
I  0.8346  0.8268  0.5530


Version x
Entry from the Alexandria database: K3AsI6 after structural relaxation (PBE-GGA).

Results
Its space group is Fm-3m, No. 225.

a b c (Å): 8.7714 8.7714 8.7714
angles (deg): 60.00 60.00 60.00
Element x y z (fractional)
K  0.0000  0.0000  0.0000
K  0.2500  0.2500  0.2500
K  0.7500  0.7500  0.7500
As  0.5000  0.5000  0.5000
I  0.2688  0.2688  0.7312
I  0.2688  0.7312  0.2688
I  0.2688  0.7312  0.7312
I  0.7312  0.2688  0.2688
I  0.7312  0.2688  0.7312
I  0.7312  0.7312  0.2688


Tell me which of them is the most stable. Sure, it is version w.


Version w
Entry from the Alexandria database: KAs2I after structural relaxation (PBE-GGA).

Results
Its space group is Fm-3m, No. 225.

a b c (Å): 7.6507 7.6507 7.6507
angles (deg): 90.00 90.00 90.00
Element x y z (fractional)
K  0.0000  0.0000  0.0000
K  0.0000  0.5000  0.5000
K  0.5000  0.0000  0.5000
K  0.5000  0.5000  0.0000
As  0.2500  0.2500  0.2500
As  0.2500  0.2500  0.7500
As  0.2500  0.7500  0.2500
As  0.2500  0.7500  0.7500
As  0.7500  0.2500  0.2500
As  0.7500  0.2500  0.7500
As  0.7500  0.7500  0.2500
As  0.7500  0.7500  0.7500
I  0.0000  0.0000  0.5000
I  0.0000  0.5000  0.0000
I  0.5000  0.0000  0.0000
I  0.5000  0.5000  0.5000


Version x
Entry from the Alexandria database: KAs2I after structural relaxation (PBE-GGA).

Results
Its space group is I-42d, No. 122.

a b c (Å): 9.0423 9.0423 6.0990
angles (deg): 90.00 90.00 90.00
Element x y z (fractional)
K  0.0000  0.0000  0.0000
K  0.0000  0.5000  0.2500
K  0.5000  0.0000  0.7500
K  0.5000  0.5000  0.5000
As  0.2176  0.2500  0.6250
As  0.2500  0.7176  0.8750
As  0.2500  0.7824  0.3750
As  0.2824  0.2500  0.1250
As  0.7176  0.7500  0.1250
As  0.7500  0.2176  0.3750
As  0.7500  0.2824  0.8750
As  0.7824  0.7500  0.6250
I  0.0000  0.0000  0.5000
I  0.0000  0.5000  0.7500
I  0.5000  0.0000  0.2500
I  0.5000  0.5000  0.0000


Tell me which of them is the most stable. Sure, it is version x.


Version w
Entry from the Alexandria database: KAsI2N after structural relaxation (PBE-GGA).

Results
Its space group is P4/mmm, No. 123.

a b c (Å): 6.2247 6.2247 4.4801
angles (deg): 90.00 90.00 90.00
Element x y z (fractional)
K  0.0000  0.0000  0.0000
As  0.5000  0.5000  0.5000
I  0.0000  0.5000  0.0000
I  0.5000  0.0000  0.0000
N  0.0000  0.0000  0.5000


Version x
Entry from the Alexandria database: KAsI2N after structural relaxation (PBE-GGA).

Results
Its space group is P4/mmm, No. 123.

a b c (Å): 6.4498 6.4498 3.7202
angles (deg): 90.00 90.00 90.00
Element x y z (fractional)
K  0.0000  0.0000  0.0000
As  0.5000  0.5000  0.5000
I  0.0000  0.5000  0.5000
I  0.5000  0.0000  0.5000
N  0.5000  0.5000  0.0000


Tell me which of them is the most stable. Sure, it is version x.


Version w
Entry from the Alexandria database: KSb2AsI after structural relaxation (PBE-GGA).

Results
Its space group is P4/mmm, No. 123.

a b c (Å): 8.0705 8.0705 6.5486
angles (deg): 90.00 90.00 90.00
Element x y z (fractional)
K  0.0000  0.0000  0.0000
Sb  0.0000  0.5000  0.0000
Sb  0.5000  0.0000  0.0000
As  0.5000  0.5000  0.5000
I  0.0000  0.0000  0.5000


Version x
Entry from the Alexandria database: KSb2AsI after structural relaxation (PBE-GGA).

Results
Its space group is P4/mmm, No. 123.

a b c (Å): 5.2875 5.2875 8.7709
angles (deg): 90.00 90.00 90.00
Element x y z (fractional)
K  0.0000  0.0000  0.0000
Sb  0.0000  0.5000  0.5000
Sb  0.5000  0.0000  0.5000
As  0.5000  0.5000  0.5000
I  0.5000  0.5000  0.0000


Tell me which of them is the most stable. Sure, it is version x.


Version w
Entry from the Alexandria database: LaAsI3 after structural relaxation (PBE-GGA).

Results
Its space group is Pm-3m, No. 221.

a b c (Å): 5.7270 5.7270 5.7270
angles (deg): 90.00 90.00 90.00
Element x y z (fractional)
La  0.0000  0.0000  0.0000
As  0.5000  0.5000  0.5000
I  0.0000  0.5000  0.5000
I  0.5000  0.0000  0.5000
I  0.5000  0.5000  0.0000


Version x
Entry from the Alexandria database: LaAsI3 after structural relaxation (PBE-GGA).

Results
Its space group is Pm-3m, No. 221.

a b c (Å): 6.3180 6.3180 6.3180
angles (deg): 90.00 90.00 90.00
Element x y z (fractional)
La  0.0000  0.0000  0.0000
As  0.5000  0.5000  0.5000
I  0.0000  0.0000  0.5000
I  0.0000  0.5000  0.0000
I  0.5000  0.0000  0.0000


Tell me which of them is the most stable. Sure, it is version x.


Version w
Entry from the Alexandria database: LaSbAsI2 after structural relaxation (PBE-GGA).

Results
Its space group is P4/mmm, No. 123.

a b c (Å): 5.4376 5.4376 5.8720
angles (deg): 90.00 90.00 90.00
Element x y z (fractional)
La  0.0000  0.0000  0.0000
Sb  0.5000  0.5000  0.0000
As  0.5000  0.5000  0.5000
I  0.0000  0.5000  0.5000
I  0.5000  0.0000  0.5000


Version x
Entry from the Alexandria database: LaSbAsI2 after structural relaxation (PBE-GGA).

Results
Its space group is P4/mmm, No. 123.

a b c (Å): 6.1795 6.1795 6.6404
angles (deg): 90.00 90.00 90.00
Element x y z (fractional)
La  0.0000  0.0000  0.0000
Sb  0.0000  0.0000  0.5000
As  0.5000  0.5000  0.5000
I  0.0000  0.5000  0.0000
I  0.5000  0.0000  0.0000


Tell me which of them is the most stable. Sure, it is version w.